Compound: KAlAs2Cl
Source: the Alexandria database
Functional: GGA-PBE
Structure: optimized geometry

Cell: 5.192 5.245 5.192 Å, 90.00 90.00 90.00°
Sites, in units of the cell vectors:
As  0.000  0.000  0.500
As  0.500  0.000  0.000
Al  0.000  0.500  0.000
K  0.500  0.500  0.500
Cl  0.000  0.000  0.000

Raw formation energy   216 kJ/mol of formula units
N(E_F)   3.364 states/eV/cell
Size of the total moment   0.0 μB per cell

***

Compound: Ac2MnSb3Ir4
Source: the Alexandria database
Functional: GGA-PBE
Structure: optimized geometry

Cell: 4.458 4.458 11.108 Å, 90.00 90.00 90.00°
Each line ends with the local moment (μB).
Sites, in units of the cell vectors:
Ac  0.500  0.000  0.258  0.01
Ac  0.000  0.500  0.742  0.01
Mn  0.500  0.500  0.500  3.67
Sb  0.000  0.000  0.500  0.00
Sb  0.500  0.000  0.866  -0.01
Sb  0.000  0.500  0.134  -0.01
Ir  0.500  0.500  0.000  -0.01
Ir  0.000  0.000  0.000  0.00
Ir  0.500  0.000  0.630  0.07
Ir  0.000  0.500  0.370  0.07

Raw formation energy   -544 kJ/mol of formula units
N(E_F)   5.761 states/eV/cell
Size of the total moment   4.1 μB per cell

***

Compound: NaSrGaBi
Source: the Alexandria database
Functional: GGA-PBE
Structure: optimized geometry

Cell: 5.569 5.569 5.569 Å, 60.00 60.00 60.00°
Sites, in units of the cell vectors:
Sr  0.000  0.000  0.000
Bi  0.750  0.750  0.750
Ga  0.250  0.250  0.250
Na  0.500  0.500  0.500

Energy of formation from the pure elements   -1.408 eV per formula unit
N(E_F)   3.708 states/eV/cell
Size of the total moment   0.0 μB per cell

***

Compound: Zr2GaHg
Source: the Alexandria database
Functional: GGA-PBE
Structure: optimized geometry

Cell: 3.187 3.187 9.871 Å, 80.71 80.71 60.00°
Sites, in units of the cell vectors:
Ga  0.000  0.000  0.000
Hg  0.500  0.500  0.500
Zr  0.254  0.254  0.239
Zr  0.746  0.746  0.761

Energy of formation from the pure elements   -0.669 eV per formula unit
N(E_F)   4.343 states/eV/cell
Size of the total moment   0.0 μB per cell